(1)
# TbSm3Cd

A relaxed structure of TbSm3Cd (PBE-GGA, Alexandria via LeMat-Bulk).

Structure (CIF):
```
data_TbSm3Cd
_cell_length_a 6.4882
_cell_length_b 9.9685
_cell_length_c 9.9685
_cell_angle_alpha 82.88
_cell_angle_beta 100.44
_cell_angle_gamma 100.44
_space_group_name_H-M_alt 'P 1'
_space_group_IT_number 1
loop_
_space_group_symop_operation_xyz
'x,y,z'
loop_
_atom_site_label
_atom_site_type_symbol
_atom_site_fract_x
_atom_site_fract_y
_atom_site_fract_z
Tb1 Tb 0.0151 0.6031 0.2075
Tb2 Tb 0.4849 0.7925 0.3969
Tb3 Tb 0.9849 0.3969 0.7925
Tb4 Tb 0.5151 0.2075 0.6031
Sm1 Sm 0.6306 0.3739 0.9997
Sm2 Sm 0.8694 0.0003 0.6261
Sm3 Sm 0.3694 0.6261 0.0003
Sm4 Sm 0.1306 0.9997 0.3739
Sm5 Sm 0.8633 0.7296 0.8699
Sm6 Sm 0.6367 0.1301 0.2704
Sm7 Sm 0.1367 0.2704 0.1301
Sm8 Sm 0.3633 0.8699 0.7296
Sm9 Sm 0.5277 0.4650 0.3320
Sm10 Sm 0.9723 0.6680 0.5350
Sm11 Sm 0.4723 0.5350 0.6680
Sm12 Sm 0.0277 0.3320 0.4650
Cd1 Cd 0.2500 0.1434 0.8566
Cd2 Cd 0.7500 0.8566 0.1434
Cd3 Cd 0.2500 0.9154 0.0846
Cd4 Cd 0.7500 0.0846 0.9154
```

Properties
DFT formation energy, eV/atom: -0.03
DOS(E_F), states/eV/atom: 1.382
Total magnetization, μB/atom: 0.000
Energy relative to the lowest polymorph listed for this composition, meV per atom: 81
SG: No. 15


(2)
# Nd3Si2Rh3

A relaxed structure of Nd3Si2Rh3 (PBE-GGA, Alexandria via LeMat-Bulk).

Structure (CIF):
```
data_Nd3Si2Rh3
_cell_length_a 5.7350
_cell_length_b 7.7464
_cell_length_c 14.9746
_cell_angle_alpha 90.00
_cell_angle_beta 90.00
_cell_angle_gamma 90.00
_space_group_name_H-M_alt 'P 1'
_space_group_IT_number 1
loop_
_space_group_symop_operation_xyz
'x,y,z'
loop_
_atom_site_label
_atom_site_type_symbol
_atom_site_fract_x
_atom_site_fract_y
_atom_site_fract_z
Nd1 Nd 0.1388 0.4730 0.3918
Nd2 Nd 0.6388 0.0270 0.6082
Nd3 Nd 0.8612 0.5270 0.8918
Nd4 Nd 0.3612 0.9730 0.1082
Nd5 Nd 0.8612 0.5270 0.6082
Nd6 Nd 0.3612 0.9730 0.3918
Nd7 Nd 0.1388 0.4730 0.1082
Nd8 Nd 0.6388 0.0270 0.8918
Nd9 Nd 0.6144 0.3334 0.2500
Nd10 Nd 0.1144 0.1666 0.7500
Nd11 Nd 0.3856 0.6666 0.7500
Nd12 Nd 0.8856 0.8334 0.2500
Si1 Si 0.8659 0.1253 0.4012
Si2 Si 0.3659 0.3747 0.5988
Si3 Si 0.1341 0.8747 0.9012
Si4 Si 0.6341 0.6253 0.0988
Si5 Si 0.1341 0.8747 0.5988
Si6 Si 0.6341 0.6253 0.4012
Si7 Si 0.8659 0.1253 0.0988
Si8 Si 0.3659 0.3747 0.9012
Rh1 Rh 0.0787 0.1807 0.2500
Rh2 Rh 0.5787 0.3193 0.7500
Rh3 Rh 0.9213 0.8193 0.7500
Rh4 Rh 0.4213 0.6807 0.2500
Rh5 Rh 0.6022 0.3363 0.4631
Rh6 Rh 0.1022 0.1637 0.5369
Rh7 Rh 0.3978 0.6637 0.9631
Rh8 Rh 0.8978 0.8363 0.0369
Rh9 Rh 0.3978 0.6637 0.5369
Rh10 Rh 0.8978 0.8363 0.4631
Rh11 Rh 0.6022 0.3363 0.0369
Rh12 Rh 0.1022 0.1637 0.9631
```

Properties
DOS(E_F), states/eV/atom: 0.559
Total magnetization, μB/atom: 0.000
Energy relative to the lowest polymorph listed for this composition, meV per atom: 0
SG: No. 62


(3)
# AgPPtS2

A relaxed structure of AgPPtS2 (PBE-GGA, Alexandria via LeMat-Bulk).

Structure (CIF):
```
data_AgPPtS2
_cell_length_a 5.0039
_cell_length_b 5.0039
_cell_length_c 4.3951
_cell_angle_alpha 90.00
_cell_angle_beta 90.00
_cell_angle_gamma 90.00
_space_group_name_H-M_alt 'P 1'
_space_group_IT_number 1
loop_
_space_group_symop_operation_xyz
'x,y,z'
loop_
_atom_site_label
_atom_site_type_symbol
_atom_site_fract_x
_atom_site_fract_y
_atom_site_fract_z
P1 P 0.0000 0.0000 0.5000
S1 S 0.0000 0.5000 0.0000
S2 S 0.5000 0.0000 0.0000
Ag1 Ag 0.5000 0.5000 0.5000
Pt1 Pt 0.0000 0.0000 0.0000
```

Properties
DOS(E_F), states/eV/atom: 1.123
Total magnetization, μB/atom: 0.108
Energy relative to the lowest polymorph listed for this composition, meV per atom: 0
SG: No. 123


Among the records above, which one has the highest energy relative to the lowest polymorph listed for this composition?
TbSm3Cd


What is the formula in the first record?
TbSm3Cd